No. 1
NaP2IrS8 | PBE-GGA | relaxed

Unit cell a=5.804 b=5.804 c=9.098 alpha=90.00 beta=90.00 gamma=120.00
Fractional positions:
1 Na 0.000 0.000 0.000
2 P 0.333 0.667 0.715
3 P 0.667 0.333 0.285
4 Ir 0.000 0.000 0.500
5 S 0.018 0.678 0.347
6 S 0.322 0.340 0.347
7 S 0.333 0.667 0.935
8 S 0.340 0.018 0.653
9 S 0.660 0.982 0.347
10 S 0.667 0.333 0.065
11 S 0.678 0.660 0.653
12 S 0.982 0.322 0.653

Computed properties:
The calculation puts the density of states at the Fermi level at 11.6 states/eV per cell. Its space group is P-3, No. 147. The final energy is -56.57 eV per cell.

---

No. 2
AlGeSbCl2 | PBE-GGA | relaxed

Unit cell a=5.201 b=5.201 c=5.828 alpha=90.00 beta=90.00 gamma=90.00
Fractional positions:
1 Al 0.000 0.000 0.000
2 Ge 0.500 0.500 0.000
3 Sb 0.500 0.500 0.500
4 Cl 0.000 0.500 0.500
5 Cl 0.500 0.000 0.500

Computed properties:
The calculation puts the density of states at the Fermi level at 3.3 states/eV per cell. Its space group is P4/mmm, No. 123. The final energy is -15.00 eV per cell.

---

> Among the records above, which one has the lowest final energy?

NaP2IrS8

---

> The lowest final energy belongs to which entry?

NaP2IrS8